An optimized crystal structure of AgHg6Pd2, computed with PBE-GGA.

Cell: 6.929 6.929 8.602 Å, 126.06 126.06 36.29°
Fractional coordinates of all 9 atoms:
Ag  0.000  0.000  0.000
Hg  0.052  0.052  0.708
Hg  0.286  0.286  0.285
Hg  0.372  0.372  0.689
Hg  0.628  0.628  0.311
Hg  0.714  0.714  0.715
Hg  0.948  0.948  0.292
Pd  0.343  0.343  0.005
Pd  0.657  0.657  0.995

Output
V = 21.322 Å³/atom
D(E_F) = 2.68 states/eV per cell
Space group = C2/m
Energy of formation from the pure elements = -5 meV per atom